# KCuOs2 (PBE, relaxed)
# distance to the lowest polymorph of the same formula	0.242	eV/atom
# DOS at the Fermi energy	4.38	states/eV/f.u.
# magnetic moment	0.000	μB/atom
data_KCuOs2
_chemical_formula_sum 'K1 Cu1 Os2'
_symmetry_space_group_name_H-M 'P 1'
_symmetry_Int_Tables_number 1
_cell_length_a 2.689
_cell_length_b 2.689
_cell_length_c 10.266
_cell_angle_alpha 90.00
_cell_angle_beta 90.00
_cell_angle_gamma 117.87
loop_
_symmetry_equiv_pos_as_xyz
'x,y,z'
loop_
_atom_site_label
_atom_site_type_symbol
_atom_site_fract_x
_atom_site_fract_y
_atom_site_fract_z
Cu1 Cu 0.500 0.500 0.250
K1 K 0.500 0.500 0.750
Os1 Os 0.000 0.000 0.036
Os2 Os 0.000 0.000 0.464